(1)
First-principles (GGA-PBE) data for a relaxed KIn2HgAu crystal, as listed in Alexandria via LeMat-Bulk. Values from VASP.

```
&SYSTEM
  ibrav = 0, nat = 5, ntyp = 4
/
ATOMIC_SPECIES
In 114.82 In.upf
Au 196.97 Au.upf
K 39.10 K.upf
Hg 200.59 Hg.upf
CELL_PARAMETERS angstrom
5.4791 0.0000 0.0000
0.0000 5.4791 0.0000
0.0000 0.0000 5.5108
ATOMIC_POSITIONS crystal
In 0.0000 0.5000 0.0000
Au 0.0000 0.0000 0.0000
K 0.5000 0.5000 0.5000
Hg 0.0000 0.0000 0.5000
In 0.5000 0.0000 0.0000
```

Summary:
The value obtained for the energy above the most stable polymorph in this dataset is 0.0191 eV/atom. The volume is 165.44 Å³ per cell. The formation energy is -46 meV/atom. Its space group is P4/mmm.

---

(2)
First-principles (GGA-PBE) data for a relaxed Tb2Ho3Se6 crystal, as listed in Alexandria via LeMat-Bulk. Values from VASP.

```
&SYSTEM
  ibrav = 0, nat = 11, ntyp = 3
/
ATOMIC_SPECIES
Ho 164.93 Ho.upf
Se 78.96 Se.upf
Tb 158.93 Tb.upf
CELL_PARAMETERS angstrom
-2.6515 0.4849 3.1053
0.9688 -1.3515 3.7608
7.7158 17.5553 6.5693
ATOMIC_POSITIONS crystal
Ho 0.7196 0.7196 0.8412
Se 0.1976 0.1976 0.4072
Se 0.9190 0.9190 0.2430
Se 0.3601 0.3601 0.9196
Tb 0.5544 0.5544 0.3367
Se 0.8024 0.8024 0.5928
Ho 0.0000 0.0000 0.0000
Tb 0.4456 0.4456 0.6633
Ho 0.2804 0.2804 0.1588
Se 0.0810 0.0810 0.7570
Se 0.6399 0.6399 0.0804
```

Summary:
The value obtained for the energy above the most stable polymorph in this dataset is 0.0985 eV/atom. The volume is 294.78 Å³ per cell. The uncorrected formation energy comes out at -1.761 eV/atom. Its space group is R-3m.

---

(3)
First-principles (GGA-PBE) data for a relaxed RbIn2F8 crystal, as listed in Alexandria via LeMat-Bulk. Values from VASP.

```
&SYSTEM
  ibrav = 0, nat = 11, ntyp = 3
/
ATOMIC_SPECIES
F 19.00 F.upf
In 114.82 In.upf
Rb 85.47 Rb.upf
CELL_PARAMETERS angstrom
4.1211 0.2350 0.3527
-0.3443 6.6159 -0.4031
-0.3443 -2.9201 5.9503
ATOMIC_POSITIONS crystal
F 0.9997 0.6589 0.9478
F 0.9997 0.9478 0.6589
F 0.5000 0.7303 0.2697
F 0.5000 0.2697 0.7303
F 0.0003 0.0522 0.3411
F 0.7478 0.4998 0.4998
In 0.0000 0.3054 0.6946
F 0.2522 0.5002 0.5002
F 0.0003 0.3411 0.0522
In 0.0000 0.6946 0.3054
Rb 0.5000 0.0000 0.0000
```

Summary:
The volume is 159.06 Å³ per cell. The uncorrected formation energy comes out at -2.345 eV/atom. Its space group is Cmmm.

---

(4)
First-principles (GGA-PBE) data for a relaxed Sr2CaW crystal, as listed in Alexandria via LeMat-Bulk. Values from VASP.

```
&SYSTEM
  ibrav = 0, nat = 4, ntyp = 3
/
ATOMIC_SPECIES
Ca 40.08 Ca.upf
W 183.84 W.upf
Sr 87.62 Sr.upf
CELL_PARAMETERS angstrom
5.7105 0.0035 0.0000
-0.0502 5.7106 0.0000
-2.8301 -2.8570 4.0544
ATOMIC_POSITIONS crystal
Ca 0.7500 0.2500 0.5000
W 0.5000 0.5000 0.0000
Sr 0.0000 0.0000 0.0000
Sr 0.2500 0.7500 0.5000
```

Summary:
The value obtained for the energy above the most stable polymorph in this dataset is 0.1162 eV/atom. The volume is 132.22 Å³ per cell. The formation energy is 1023 meV/atom. Its space group is I-4m2.

---

(5)
First-principles (GGA-PBE) data for a relaxed Y8BiSb5 crystal, as listed in Alexandria via LeMat-Bulk. Values from VASP.

```
&SYSTEM
  ibrav = 0, nat = 14, ntyp = 3
/
ATOMIC_SPECIES
Bi 208.98 Bi.upf
Sb 121.76 Sb.upf
Y 88.91 Y.upf
CELL_PARAMETERS angstrom
7.5577 0.0000 -2.6400
-3.7514 6.5436 -2.6827
-0.0550 0.0000 8.0054
ATOMIC_POSITIONS crystal
Bi 0.2500 0.5000 0.7500
Sb 0.5000 0.0000 0.5000
Sb 0.7503 0.6229 0.6264
Y 0.9762 0.1006 0.7308
Y 0.6292 0.3936 0.8772
Y 0.1228 0.7520 0.5164
Sb 0.8726 0.8761 0.2497
Sb 0.0035 0.3771 0.1274
Y 0.7644 0.2480 0.3708
Sb 0.3736 0.1239 0.9965
Y 0.1243 0.7546 0.0238
Y 0.4836 0.6064 0.2356
Y 0.6303 0.8994 0.8757
Y 0.2692 0.2454 0.3697
```

Summary:
The volume is 394.95 Å³ per cell. The uncorrected formation energy comes out at -0.984 eV/atom. Its space group is I-4.

---

(6)
First-principles (GGA-PBE) data for a relaxed GaSn3Au crystal, as listed in Alexandria via LeMat-Bulk. Values from VASP.

```
&SYSTEM
  ibrav = 0, nat = 5, ntyp = 3
/
ATOMIC_SPECIES
Sn 118.71 Sn.upf
Ga 69.72 Ga.upf
Au 196.97 Au.upf
CELL_PARAMETERS angstrom
-4.6657 -2.6951 -0.5299
2.1816 -4.2708 2.5128
-1.6688 1.9519 4.7664
ATOMIC_POSITIONS crystal
Sn 0.0000 0.0000 0.5000
Sn 0.5000 0.0000 0.0000
Ga 0.5000 0.5000 0.5000
Au 0.0000 0.0000 0.0000
Sn 0.0000 0.5000 0.0000
```

Summary:
The value obtained for the energy above the most stable polymorph in this dataset is 0.4473 eV/atom. The volume is 158.71 Å³ per cell. The formation energy is 395 meV/atom. Its space group is Pm-3m.

---

(7)
First-principles (GGA-PBE) data for a relaxed TiAl2Mo2 crystal, as listed in Alexandria via LeMat-Bulk. Values from VASP.

```
&SYSTEM
  ibrav = 0, nat = 10, ntyp = 3
/
ATOMIC_SPECIES
Ti 47.87 Ti.upf
Al 26.98 Al.upf
Mo 95.94 Mo.upf
CELL_PARAMETERS angstrom
6.9529 0.0000 0.0000
0.0000 6.9529 0.0000
0.0000 0.0000 3.3794
ATOMIC_POSITIONS crystal
Ti 0.0000 0.0000 0.0000
Ti 0.5000 0.5000 0.0000
Al 0.1359 0.6359 0.5000
Al 0.3641 0.1359 0.5000
Mo 0.8375 0.6625 0.0000
Mo 0.1625 0.3375 0.0000
Mo 0.6625 0.1625 0.0000
Al 0.8641 0.3641 0.5000
Mo 0.3375 0.8375 0.0000
Al 0.6359 0.8641 0.5000
```

Summary:
The value obtained for the energy above the most stable polymorph in this dataset is 0.3527 eV/atom. The volume is 163.37 Å³ per cell. The formation energy is 113 meV/atom. Its space group is P4/mbm.

---

(8)
First-principles (GGA-PBE) data for a relaxed Ce4AlSi3 crystal, as listed in Alexandria via LeMat-Bulk. Values from VASP.

```
&SYSTEM
  ibrav = 0, nat = 8, ntyp = 3
/
ATOMIC_SPECIES
Ce 140.12 Ce.upf
Si 28.09 Si.upf
Al 26.98 Al.upf
CELL_PARAMETERS angstrom
4.3876 0.0000 0.0000
0.0000 3.9478 0.0000
0.0000 0.0000 11.0772
ATOMIC_POSITIONS crystal
Ce 0.0000 0.5000 0.8522
Ce 0.5000 0.5000 0.3617
Si 0.0000 0.0000 0.4328
Si 0.5000 0.0000 0.9257
Ce 0.5000 0.0000 0.6415
Si 0.0000 0.5000 0.5701
Ce 0.0000 0.0000 0.1492
Al 0.5000 0.5000 0.0667
```

Summary:
The volume is 191.88 Å³ per cell. The uncorrected formation energy comes out at -0.554 eV/atom. Its space group is Pmm2.

---

(9)
First-principles (GGA-PBE) data for a relaxed AcPr2Sm6Y3 crystal, as listed in Alexandria via LeMat-Bulk. Values from VASP.

```
&SYSTEM
  ibrav = 0, nat = 12, ntyp = 4
/
ATOMIC_SPECIES
Y 88.91 Y.upf
Sm 150.36 Sm.upf
Pr 140.91 Pr.upf
Ac 227.00 Ac.upf
CELL_PARAMETERS angstrom
6.3487 -0.0015 0.0151
-3.1741 5.4983 0.0151
-1.0871 -1.8823 11.9251
ATOMIC_POSITIONS crystal
Y 0.8331 0.1669 0.5000
Sm 0.0862 0.4213 0.2561
Pr 0.6666 0.3334 0.0000
Y 0.1669 0.8331 0.5000
Sm 0.5787 0.9138 0.7439
Ac 0.0000 0.0000 0.0000
Y 0.5000 0.5000 0.5000
Sm 0.9138 0.5787 0.7439
Sm 0.4213 0.0862 0.2561
Pr 0.3334 0.6666 0.0000
Sm 0.7510 0.7510 0.2565
Sm 0.2490 0.2490 0.7435
```

Summary:
The volume is 416.57 Å³ per cell. The formation energy is 26 meV/atom. Its space group is C2/m.

---

(10)
First-principles (GGA-PBE) data for a relaxed Na2Be2Al crystal, as listed in Alexandria via LeMat-Bulk. Values from VASP.

```
&SYSTEM
  ibrav = 0, nat = 5, ntyp = 3
/
ATOMIC_SPECIES
Na 22.99 Na.upf
Be 9.01 Be.upf
Al 26.98 Al.upf
CELL_PARAMETERS angstrom
2.9533 0.0000 0.0000
0.0000 2.9533 0.0000
1.4767 1.4767 10.3056
ATOMIC_POSITIONS crystal
Na 0.6216 0.6216 0.7567
Be 0.7500 0.2500 0.5000
Be 0.2500 0.7500 0.5000
Na 0.3784 0.3784 0.2433
Al 0.0000 0.0000 0.0000
```

Summary:
The value obtained for the energy above the most stable polymorph in this dataset is 0.0000 eV/atom. The volume is 89.89 Å³ per cell. The formation energy is 405 meV/atom. Its space group is I4/mmm.

---

(11)
First-principles (GGA-PBE) data for a relaxed BiPAuS crystal, as listed in Alexandria via LeMat-Bulk. Values from VASP.

```
&SYSTEM
  ibrav = 0, nat = 4, ntyp = 4
/
ATOMIC_SPECIES
P 30.97 P.upf
S 32.06 S.upf
Au 196.97 Au.upf
Bi 208.98 Bi.upf
CELL_PARAMETERS angstrom
4.1391 -0.0014 0.0082
0.0056 4.8079 -0.0913
2.0596 0.3007 5.2187
ATOMIC_POSITIONS crystal
P 0.6021 0.2283 0.3655
S 0.4127 0.3285 0.7447
Au 0.1506 0.9865 0.2688
Bi 0.7749 0.6735 0.0207
```

Summary:
The value obtained for the energy above the most stable polymorph in this dataset is 0.0546 eV/atom. The volume is 103.89 Å³ per cell. The uncorrected formation energy comes out at 0.008 eV/atom. Its space group is Cm.

---

(12)
First-principles (GGA-PBE) data for a relaxed TiP2H4O9 crystal, as listed in Alexandria via LeMat-Bulk. Values from VASP.

```
&SYSTEM
  ibrav = 0, nat = 64, ntyp = 4
/
ATOMIC_SPECIES
O 16.00 O.upf
H 1.01 H.upf
P 30.97 P.upf
Ti 47.87 Ti.upf
CELL_PARAMETERS angstrom
5.0931 0.0000 0.0000
0.0000 8.7977 -0.0327
0.0000 -3.2511 15.8364
ATOMIC_POSITIONS crystal
O 0.7151 0.9967 0.7432
O 0.7428 0.3047 0.8066
H 0.7689 0.6892 0.2851
O 0.5333 0.6493 0.0595
P 0.2564 0.6335 0.0950
O 0.5582 0.7721 0.4455
O 0.0333 0.8507 0.4405
O 0.4699 0.6601 0.5908
O 0.9699 0.8399 0.9092
H 0.6931 0.9797 0.6818
O 0.3187 0.0521 0.9447
Ti 0.7522 0.7459 0.9858
O 0.8187 0.4479 0.5553
H 0.7311 0.1892 0.7851
P 0.2436 0.1335 0.5950
O 0.5485 0.2312 0.0871
P 0.7564 0.8665 0.4050
P 0.7436 0.3665 0.9050
O 0.1750 0.4623 0.0846
O 0.7435 0.1083 0.2032
O 0.2151 0.5033 0.7568
H 0.3820 0.5536 0.7471
H 0.2689 0.8109 0.2149
H 0.1180 0.0536 0.2471
O 0.7849 0.4967 0.2432
P 0.7516 0.6109 0.6052
O 0.0301 0.1601 0.0908
O 0.4515 0.7688 0.9129
O 0.0485 0.2688 0.4129
O 0.5301 0.3399 0.4092
H 0.0719 0.4276 0.2765
H 0.2311 0.3108 0.7149
O 0.9667 0.1493 0.5595
O 0.9418 0.2721 0.9455
O 0.2428 0.1953 0.6934
O 0.8250 0.5377 0.9154
O 0.1813 0.5521 0.4447
O 0.3250 0.9623 0.5846
Ti 0.2478 0.2541 0.0142
H 0.6180 0.4464 0.2529
O 0.6813 0.9479 0.0553
O 0.0582 0.7279 0.0545
O 0.7565 0.6083 0.7032
H 0.9281 0.5724 0.7235
O 0.2565 0.8917 0.7968
H 0.8820 0.9464 0.7529
P 0.2516 0.8891 0.8948
O 0.6750 0.0377 0.4154
O 0.7572 0.8047 0.3066
O 0.4418 0.2279 0.5545
O 0.2849 0.0033 0.2568
H 0.5719 0.0724 0.2235
O 0.2435 0.3917 0.2968
H 0.4281 0.9276 0.7765
O 0.9515 0.7312 0.5871
H 0.1931 0.5203 0.8182
P 0.2484 0.3891 0.3948
O 0.2572 0.6953 0.1934
H 0.8069 0.4797 0.1818
Ti 0.7478 0.2459 0.4858
H 0.3069 0.0203 0.3182
O 0.4667 0.3507 0.9405
P 0.7484 0.1109 0.1052
Ti 0.2522 0.7541 0.5142
```

Summary:
The volume is 709.04 Å³ per cell. Its space group is P2_1/c. The calculation puts the uncorrected energy at -6.75 eV/atom.

---

(13)
First-principles (GGA-PBE) data for a relaxed Tb9HoTm2 crystal, as listed in Alexandria via LeMat-Bulk. Values from VASP.

```
&SYSTEM
  ibrav = 0, nat = 12, ntyp = 3
/
ATOMIC_SPECIES
Ho 164.93 Ho.upf
Tb 158.93 Tb.upf
Tm 168.93 Tm.upf
CELL_PARAMETERS angstrom
-3.0263 0.8321 1.5034
4.0312 -3.2448 9.9106
1.2506 10.5941 -3.3465
ATOMIC_POSITIONS crystal
Ho 0.0000 0.0000 0.0000
Tb 0.5000 0.1762 0.8238
Tb 0.5000 0.3523 0.1762
Tb 0.0000 0.0000 0.5000
Tb 0.5000 0.8238 0.1762
Tb 0.5000 0.6477 0.8238
Tb 0.0000 0.5000 0.5000
Tm 0.0000 0.3333 0.6667
Tb 0.5000 0.8238 0.6477
Tm 0.0000 0.6667 0.3333
Tb 0.5000 0.1762 0.3523
Tb 0.0000 0.5000 0.0000
```

Summary:
The value obtained for the energy above the most stable polymorph in this dataset is 0.0277 eV/atom. The volume is 376.73 Å³ per cell. The formation energy is 48 meV/atom. Its space group is P6/mmm.

---

(14)
First-principles (GGA-PBE) data for a relaxed LaTb2Er9 crystal, as listed in Alexandria via LeMat-Bulk. Values from VASP.

```
&SYSTEM
  ibrav = 0, nat = 12, ntyp = 3
/
ATOMIC_SPECIES
Er 167.26 Er.upf
La 138.91 La.upf
Tb 158.93 Tb.upf
CELL_PARAMETERS angstrom
3.5114 0.0000 0.0000
0.0000 11.1859 0.0000
0.0000 -5.5930 9.6873
ATOMIC_POSITIONS crystal
Er 0.5000 0.3582 0.1791
La 0.0000 0.0000 0.0000
Er 0.0000 0.0000 0.5000
Tb 0.0000 0.3333 0.6667
Er 0.5000 0.1791 0.8209
Er 0.5000 0.8209 0.1791
Er 0.0000 0.5000 0.5000
Tb 0.0000 0.6667 0.3333
Er 0.5000 0.6418 0.8209
Er 0.5000 0.8209 0.6418
Er 0.5000 0.1791 0.3582
Er 0.0000 0.5000 0.0000
```

Summary:
The value obtained for the energy above the most stable polymorph in this dataset is 0.0118 eV/atom. The volume is 380.50 Å³ per cell. The formation energy is 40 meV/atom. Its space group is P6/mmm.

---

(15)
First-principles (GGA-PBE) data for a relaxed Ho6BiTe5 crystal, as listed in Alexandria via LeMat-Bulk. Values from VASP.

```
&SYSTEM
  ibrav = 0, nat = 12, ntyp = 3
/
ATOMIC_SPECIES
Te 127.60 Te.upf
Ho 164.93 Ho.upf
Bi 208.98 Bi.upf
CELL_PARAMETERS angstrom
-4.7106 -4.9002 -3.3560
-4.1588 -3.4404 5.2418
-6.5831 2.9548 2.1161
ATOMIC_POSITIONS crystal
Te 0.5000 0.1658 0.6684
Ho 0.2521 0.5814 0.3337
Ho 0.7483 0.7483 0.0000
Ho 0.2521 0.9151 0.6663
Ho 0.2517 0.2517 0.0000
Te 0.0000 0.6672 0.6656
Bi 0.0000 0.0000 0.0000
Te 0.5000 0.8342 0.3316
Ho 0.7479 0.0849 0.3337
Te 0.0000 0.3328 0.3344
Te 0.5000 0.5000 0.0000
Ho 0.7479 0.4186 0.6663
```

Summary:
The volume is 350.47 Å³ per cell. The uncorrected formation energy comes out at -1.186 eV/atom. Its space group is C2/m.